Record 1
An optimized crystal structure of YGe2F. Source: the Alexandria database, functional PBE.

The offset from the most stable computed form is 0.0000 eV per atom. The formation energy without anion corrections comes out at -4.5 eV per formula unit. The value obtained for the uncorrected energy is -88.30 eV for the cell shown.

The space group is I-42d (No. 122) and the conventional cell measures 3.631, 3.631 and 22.776 Å, with angles of 90.00, 90.00 and 90.00 degrees. Symmetry generates all atoms from Y at (0.000, 0.000, 0.000), Ge at (0.247, 0.250, 0.125) and F at (0.000, 0.000, 0.500).


Record 2
An optimized crystal structure of YGeF6. Source: the Alexandria database, functional PBE.

The formation energy without anion corrections comes out at -23.8 eV per formula unit. The value obtained for the uncorrected energy is -92.21 eV for the cell shown.

The space group is C2/m (No. 12) and the conventional cell measures 5.430, 8.524 and 5.319 Å, with angles of 90.00, 101.97 and 90.00 degrees. Symmetry generates all atoms from Y at (0.000, 0.000, 0.000), Ge at (0.000, 0.500, 0.500), F at (0.215, 0.348, 0.748) and F at (0.240, 0.000, 0.717).


Record 3
An optimized crystal structure of YGe2F8. Source: the Alexandria database, functional PBE.

The formation energy without anion corrections comes out at -28.9 eV per formula unit. The value obtained for the uncorrected energy is -119.11 eV for the cell shown.

The space group is C2/m (No. 12) and the conventional cell measures 7.425, 7.535 and 5.871 Å, with angles of 90.00, 99.01 and 90.00 degrees. Symmetry generates all atoms from Y at (0.000, 0.000, 0.000), Ge at (0.199, 0.500, 0.555), F at (0.125, 0.178, 0.313), F at (0.175, 0.500, 0.883) and F at (0.178, 0.000, 0.712).